CeDy4Ge4: optimized geometry, PBE.

Lattice parameters (Å, degrees): 5.8086 9.2973 9.2973 90.00 90.00 90.00
Closest atoms and distances in Å follow each position.
Element x y z (fractional)
1 Ge 0.0002 0.1049 0.2954  5 Dy 2.90-2.96, 1 Ce 2.91
2 Ge 0.0002 0.8951 0.7046  5 Dy 2.90-2.96, 1 Ce 2.91
3 Ge 0.4998 0.6049 0.7954  5 Dy 2.90-2.96, 1 Ce 2.91
4 Ge 0.9998 0.7046 0.1049  5 Dy 2.90-2.96, 1 Ce 2.91
5 Ge 0.5002 0.2046 0.6049  5 Dy 2.90-2.96, 1 Ce 2.91
6 Ge 0.5002 0.7954 0.3951  5 Dy 2.90-2.96, 1 Ce 2.91
7 Ge 0.9998 0.2954 0.8951  5 Dy 2.90-2.96, 1 Ce 2.91
8 Ge 0.4998 0.3951 0.2046  5 Dy 2.90-2.96, 1 Ce 2.91
9 Dy 0.5002 0.8982 0.6907  5 Ge 2.90-2.96
10 Dy 0.9998 0.6018 0.8093  5 Ge 2.90-2.96
11 Dy 0.0002 0.8093 0.3982  5 Ge 2.90-2.96
12 Dy 0.0002 0.1907 0.6018  5 Ge 2.90-2.96
13 Dy 0.5002 0.1018 0.3093  5 Ge 2.90-2.96
14 Dy 0.4998 0.3093 0.8982  5 Ge 2.90-2.96
15 Dy 0.9998 0.3982 0.1907  5 Ge 2.90-2.96
16 Dy 0.4998 0.6907 0.1018  5 Ge 2.90-2.96
17 Ce 0.0000 0.0000 0.0000  4 Ge 2.91
18 Ce 0.5000 0.5000 0.5000  4 Ge 2.91

The density of states at the Fermi level is 8.29 states/eV/f.u. The value obtained for the magnetization is 1.89 μB per cell. Its total DFT energy (no corrections) is -96.5 eV for the cell shown.